No. 1
DFT (PBE) results for a relaxed structure of YSn2MoBr. Values from VASP.

Cell and atoms, written as Quantum ESPRESSO input:
```
&SYSTEM
  ibrav = 0, nat = 5, ntyp = 4
/
ATOMIC_SPECIES
Sn 118.71 Sn.upf
Mo 95.94 Mo.upf
Br 79.90 Br.upf
Y 88.91 Y.upf
CELL_PARAMETERS angstrom
5.884 0.000 0.000
0.000 5.348 0.000
0.000 0.000 5.884
ATOMIC_POSITIONS crystal
Sn 0.500 0.000 0.000
Mo 0.500 0.500 0.500
Br 0.000 0.500 0.000
Sn 0.000 0.000 0.500
Y 0.000 0.000 0.000
```

Calculated volume, Å³ per atom: 37.030
Energy relative to the elements, uncorrected, eV/atom: 0.89



No. 2
DFT (PBE) results for a relaxed structure of SrMoBr3. Values from VASP.

Cell and atoms, written as Quantum ESPRESSO input:
```
&SYSTEM
  ibrav = 0, nat = 5, ntyp = 3
/
ATOMIC_SPECIES
Mo 95.94 Mo.upf
Sr 87.62 Sr.upf
Br 79.90 Br.upf
CELL_PARAMETERS angstrom
5.892 0.000 0.000
0.000 5.892 0.000
0.000 0.000 5.892
ATOMIC_POSITIONS crystal
Mo 0.500 0.500 0.500
Sr 0.000 0.000 0.000
Br 0.000 0.000 0.500
Br 0.500 0.000 0.000
Br 0.000 0.500 0.000
```

Calculated volume, Å³ per atom: 40.913
Energy relative to the elements, uncorrected, eV/atom: -0.32



No. 3
DFT (PBE) results for a relaxed structure of Sr2MoBr. Values from VASP.

Cell and atoms, written as Quantum ESPRESSO input:
```
&SYSTEM
  ibrav = 0, nat = 4, ntyp = 3
/
ATOMIC_SPECIES
Sr 87.62 Sr.upf
Mo 95.94 Mo.upf
Br 79.90 Br.upf
CELL_PARAMETERS angstrom
5.816 0.000 0.000
0.000 3.657 0.003
0.000 -0.008 5.817
ATOMIC_POSITIONS crystal
Sr 0.000 0.125 0.875
Mo 0.500 0.625 0.875
Br 0.000 0.624 0.375
Sr 0.500 0.126 0.375
```

Calculated volume, Å³ per atom: 30.934
Energy relative to the elements, uncorrected, eV/atom: 0.16



No. 4
DFT (PBE) results for a relaxed structure of SrMoBr3. Values from VASP.

Cell and atoms, written as Quantum ESPRESSO input:
```
&SYSTEM
  ibrav = 0, nat = 5, ntyp = 3
/
ATOMIC_SPECIES
Br 79.90 Br.upf
Sr 87.62 Sr.upf
Mo 95.94 Mo.upf
CELL_PARAMETERS angstrom
5.359 0.000 0.000
0.000 5.359 0.000
0.000 0.000 5.359
ATOMIC_POSITIONS crystal
Br 0.500 0.000 0.000
Br 0.000 0.500 0.000
Sr 0.500 0.500 0.500
Mo 0.000 0.000 0.000
Br 0.000 0.000 0.500
```

Calculated volume, Å³ per atom: 30.784
Energy relative to the elements, uncorrected, eV/atom: -0.47



No. 5
DFT (PBE) results for a relaxed structure of Sr2MoBr. Values from VASP.

Cell and atoms, written as Quantum ESPRESSO input:
```
&SYSTEM
  ibrav = 0, nat = 4, ntyp = 3
/
ATOMIC_SPECIES
Sr 87.62 Sr.upf
Mo 95.94 Mo.upf
Br 79.90 Br.upf
CELL_PARAMETERS angstrom
-0.677 2.823 -2.475
-3.216 0.860 1.862
5.087 6.352 5.853
ATOMIC_POSITIONS crystal
Sr 0.000 0.000 0.957
Sr 0.500 0.500 0.309
Mo 0.500 0.500 0.759
Br 0.000 0.000 0.475
```

Calculated volume, Å³ per atom: 36.462
Energy relative to the elements, uncorrected, eV/atom: 0.40



No. 6
DFT (PBE) results for a relaxed structure of SrMoBr2. Values from VASP.

Cell and atoms, written as Quantum ESPRESSO input:
```
&SYSTEM
  ibrav = 0, nat = 4, ntyp = 3
/
ATOMIC_SPECIES
Sr 87.62 Sr.upf
Br 79.90 Br.upf
Mo 95.94 Mo.upf
CELL_PARAMETERS angstrom
-1.261 4.064 0.021
-3.929 -1.224 1.124
1.580 0.459 6.020
ATOMIC_POSITIONS crystal
Sr 0.500 0.500 0.795
Br 0.500 0.500 0.312
Br 0.000 0.000 0.919
Mo 0.000 0.000 0.474
```

Calculated volume, Å³ per atom: 28.322
Energy relative to the elements, uncorrected, eV/atom: -0.11